DFT (PBEsol) results for a relaxed structure of Ag2Cl.

Lattice parameters (Å, degrees): 3.1200 6.2617 6.2134 110.71 90.00 104.43
Fractional coordinates of all 6 atoms:
Ag1 0.6775 0.3550 0.6002
Ag2 0.3372 0.6745 0.9561
Ag3 0.3225 0.6450 0.3998
Ag4 0.6628 0.3255 0.0439
Cl1 0.0340 0.0680 0.2706
Cl2 0.9660 0.9320 0.7294

Calculated values
The distance to the lowest polymorph of the same formula is 122.5 meV per atom. As for the symmetry: C2/m, No. 12.

---

DFT (PBEsol) results for a relaxed structure of La2Ga5Au3.

Lattice parameters (Å, degrees): 4.2937 4.2937 11.0670 90.00 90.00 90.00
Fractional coordinates of all 10 atoms:
La1 0.5000 0.0000 0.2494
La2 0.0000 0.5000 0.7506
Ga1 0.5000 0.5000 0.0000
Ga2 0.0000 0.0000 0.0000
Ga3 0.5000 0.0000 0.8706
Ga4 0.0000 0.5000 0.1294
Ga5 0.0000 0.0000 0.5000
Au1 0.5000 0.0000 0.6483
Au2 0.0000 0.5000 0.3517
Au3 0.5000 0.5000 0.5000

Calculated values
As for the symmetry: P-4m2, No. 115. As for the energy of formation from the pure elements: -5.993 eV/f.u.

---

DFT (PBEsol) results for a relaxed structure of TlTeAu.

Lattice parameters (Å, degrees): 4.5987 4.5987 4.6556 90.00 90.00 120.00
Fractional coordinates of all 3 atoms:
Tl1 0.3333 0.6667 0.3562
Te1 0.6667 0.3333 0.8608
Au1 0.0000 0.0000 0.7830

Calculated values
As for the symmetry: P3m1, No. 156. As for the total energy: -3.50 eV/atom.

---

DFT (PBEsol) results for a relaxed structure of ErB2Os.

Lattice parameters (Å, degrees): 5.2532 5.8048 6.2916 90.00 90.00 90.00
Fractional coordinates of all 16 atoms:
Er1 0.7500 0.9907 0.3345
Er2 0.7500 0.4907 0.1655
Er3 0.2500 0.0093 0.6655
Er4 0.2500 0.5093 0.8345
B1 0.9191 0.6394 0.5386
B2 0.5809 0.1394 0.9614
B3 0.4191 0.3606 0.4614
B4 0.0809 0.8606 0.0386
B5 0.0809 0.3606 0.4614
B6 0.4191 0.8606 0.0386
B7 0.5809 0.6394 0.5386
B8 0.9191 0.1394 0.9614
Os1 0.7500 0.8232 0.8193
Os2 0.7500 0.3232 0.6807
Os3 0.2500 0.1768 0.1807
Os4 0.2500 0.6768 0.3193

Calculated values
As for the symmetry: Pnma, No. 62. As for the energy of formation from the pure elements: -2.659 eV/f.u.

---

DFT (PBEsol) results for a relaxed structure of CaV2P2H8O14.

Lattice parameters (Å, degrees): 6.3294 6.3207 6.5301 72.58 86.02 89.31
Last column: magnetic moment on the atom in μB.
Fractional coordinates of all 27 atoms:
Ca1 0.4593 0.5302 0.1559  0.00
V1 0.1687 0.4927 0.7100  0.99
V2 0.6831 0.0643 0.5138  0.99
P1 0.6702 0.5292 0.6243  0.01
P2 0.1712 0.0298 0.6080  0.01
H1 0.0107 0.5369 0.0884  0.00
H2 0.0768 0.2879 0.2069  0.00
H3 0.5786 0.0883 0.1020  0.00
H4 0.7726 0.2638 0.0159  0.00
H5 0.8068 0.7416 0.2328  0.00
H6 0.8068 0.8170 0.9709  0.00
H7 0.3267 0.9432 0.2443  0.00
H8 0.2966 0.0082 0.9855  0.00
O1 0.2149 0.5534 0.4525  -0.09
O2 0.6845 0.9853 0.7715  -0.09
O3 0.6418 0.3864 0.4725  0.01
O4 0.8586 0.4487 0.7641  0.00
O5 0.7069 0.7669 0.4690  0.01
O6 0.4728 0.5115 0.7839  0.00
O7 0.1364 0.7881 0.7446  0.01
O8 0.9940 0.1126 0.4497  0.01
O9 0.1852 0.1626 0.7722  0.01
O10 0.3764 0.0622 0.4561  0.00
O11 0.1236 0.4196 0.0807  0.00
O12 0.6743 0.1935 0.1450  0.00
O13 0.8171 0.6871 0.1028  0.00
O14 0.3812 0.9172 0.1072  0.00

Calculated values
As for the symmetry: P1, No. 1. As for the total energy: -6.77 eV/atom.

---

DFT (PBEsol) results for a relaxed structure of BaSi2Ru.

Lattice parameters (Å, degrees): 3.0058 3.4048 7.3389 90.00 90.00 90.00
Fractional coordinates of all 4 atoms:
Ba1 0.5000 0.5000 0.0000
Ru1 0.5000 0.5000 0.5000
Si1 0.0000 0.0000 0.6693
Si2 0.0000 0.0000 0.3307

Calculated values
As for the symmetry: Pmmm, No. 47. As for the total energy: -6.15 eV/atom.

---

DFT (PBEsol) results for a relaxed structure of LiCo2S4.

Lattice parameters (Å, degrees): 6.7057 6.7057 6.7057 60.00 60.00 60.00
Fractional coordinates of all 14 atoms:
Li1 0.2500 0.2500 0.2500
Li2 0.0000 0.0000 0.0000
Co1 0.6250 0.6250 0.6250
Co2 0.6250 0.1250 0.6250
Co3 0.1250 0.6250 0.6250
Co4 0.6250 0.6250 0.1250
S1 0.8588 0.8588 0.8588
S2 0.8588 0.4235 0.8588
S3 0.4235 0.8588 0.8588
S4 0.3912 0.3912 0.3912
S5 0.3912 0.3912 0.8265
S6 0.3912 0.8265 0.3912
S7 0.8588 0.8588 0.4235
S8 0.8265 0.3912 0.3912

Calculated values
As for the symmetry: Fd-3m, No. 227. As for the total energy: -5.61 eV/atom.

---

DFT (PBEsol) results for a relaxed structure of NiIr.

Lattice parameters (Å, degrees): 3.6276 3.6276 4.5227 113.64 113.64 90.00
Fractional coordinates of all 4 atoms:
Ni1 0.7500 0.2500 0.5000
Ni2 0.5000 0.5000 0.0000
Ir1 0.0000 0.0000 0.0000
Ir2 0.2500 0.7500 0.5000

Calculated values
As for the symmetry: I4_1/amd, No. 141. As for the energy of formation from the pure elements: -0.069 eV/f.u.

---

DFT (PBEsol) results for a relaxed structure of SrY2FeBr.

Lattice parameters (Å, degrees): 4.8729 4.8729 6.4376 90.00 90.00 90.00
Last column: magnetic moment on the atom in μB.
Fractional coordinates of all 5 atoms:
Y1 0.0000 0.5000 0.0000  -0.02
Y2 0.5000 0.0000 0.0000  -0.02
Sr1 0.0000 0.0000 0.5000  -0.01
Fe1 0.0000 0.0000 0.0000  0.49
Br1 0.5000 0.5000 0.5000  0.00

Calculated values
As for the symmetry: P4/mmm, No. 123. As for the total energy: -5.36 eV/atom.

---

DFT (PBEsol) results for a relaxed structure of AuS2O.

Lattice parameters (Å, degrees): 4.6762 4.6762 6.8604 109.93 109.93 90.00
Fractional coordinates of all 8 atoms:
S1 0.7888 0.3750 0.2500
S2 0.4612 0.8750 0.2500
S3 0.6250 0.5388 0.7500
S4 0.1250 0.2112 0.7500
Au1 0.2500 0.7500 0.5000
Au2 0.0000 0.0000 0.0000
O1 0.7500 0.2500 0.5000
O2 0.5000 0.5000 0.0000

Calculated values
As for the symmetry: I-42d, No. 122. As for the total energy: -4.01 eV/atom.

---

DFT (PBEsol) results for a relaxed structure of KOsIN2.

Lattice parameters (Å, degrees): 4.5775 4.5775 6.4333 90.00 90.00 90.00
Last column: magnetic moment on the atom in μB.
Fractional coordinates of all 5 atoms:
I1 0.0000 0.0000 0.5000  0.09
K1 0.0000 0.0000 0.0000  0.16
Os1 0.5000 0.5000 0.5000  2.88
N1 0.0000 0.5000 0.0000  1.64
N2 0.5000 0.0000 0.0000  1.64

Calculated values
As for the symmetry: P4/mmm, No. 123. As for the total energy: -3.28 eV/atom.

---

DFT (PBEsol) results for a relaxed structure of Li2ReNi.

Lattice parameters (Å, degrees): 2.4851 4.7645 4.9458 118.79 90.00 90.00
Fractional coordinates of all 4 atoms:
Li1 0.0000 0.5000 0.5000
Li2 0.0000 0.0000 0.5000
Ni1 0.5000 0.0000 0.0000
Re1 0.5000 0.5000 0.0000

Calculated values
The distance to the lowest polymorph of the same formula is 3.6 meV per atom. As for the symmetry: Cmmm, No. 65. As for the energy of formation from the pure elements: 1.475 eV/f.u.

---

Values of calculated volume, in order: 109.44; 204.03; 85.26; 191.85; 248.66; 75.11; 213.22; 49.02; 152.86; 131.44; 134.80; 51.32, all in Å³ per cell.